The following is a SCAN calculation of a crystal of NaYFe3 relaxed with PBEsol, from the Alexandria database.

Cell and atoms, written as POSCAR:
```
NaYFe3
1.0
4.506 0.000 0.000
0.000 4.506 0.000
0.000 0.000 4.506
Na Fe Y
1 3 1
Direct
0.000 0.000 0.000
0.000 0.500 0.000
0.500 0.000 0.000
0.000 0.000 0.500
0.500 0.500 0.500
```

Output
As for the size of the total moment: 8.96 μB/cell. As for the formation energy: 126.3 kJ/mol of atoms.

---

The following is a SCAN calculation of a crystal of NaZn3Fe relaxed with PBEsol, from the Alexandria database.

Cell and atoms, written as POSCAR:
```
NaZn3Fe
1.0
4.676 0.000 0.000
0.000 4.676 0.000
0.000 0.000 4.676
Zn Na Fe
3 1 1
Direct
0.500 0.000 0.000
0.000 0.000 0.500
0.000 0.500 0.000
0.000 0.000 0.000
0.500 0.500 0.500
```

Output
As for the size of the total moment: 3.26 μB/cell. As for the formation energy: 130.0 kJ/mol of atoms.

---

The following is a SCAN calculation of a crystal of NaZrFe3 relaxed with PBEsol, from the Alexandria database.

Cell and atoms, written as POSCAR:
```
NaZrFe3
1.0
-1.916 0.251 4.202
-0.070 -4.618 0.244
4.209 0.037 1.917
Fe Na Zr
3 1 1
Direct
0.500 0.000 0.000
0.000 0.000 0.500
0.000 0.500 0.000
0.500 0.500 0.500
0.000 0.000 0.000
```

Output
As for the size of the total moment: 6.80 μB/cell. As for the formation energy: 137.7 kJ/mol of atoms.

---

The following is a SCAN calculation of a crystal of Nb3FeO relaxed with PBEsol, from the Alexandria database.

Cell and atoms, written as POSCAR:
```
Nb3FeO
1.0
4.177 0.000 0.000
0.000 4.177 0.000
0.000 0.000 4.177
Nb Fe O
3 1 1
Direct
0.000 0.500 0.000
0.000 0.000 0.500
0.500 0.000 0.000
0.500 0.500 0.500
0.000 0.000 0.000
```

Output
As for the size of the total moment: 2.66 μB/cell. Its uncorrected formation energy is -0.565 eV/atom.

---

no.,raw total energy (eV/f.u.),Fermi-level density of states (states/eV/cell)
1,-79.9,3.172
2,-56.2,3.569
3,-82.2,2.675
4,-126.6,3.970